A relaxed structure of Pm2SmYS4, computed with PBE.

Values from the calculation:
Final energy = -53.36 eV/f.u.
V = 22.61 Å³ per atom
Space group = P2/m, No. 10
E_form (uncorrected) = -2020 meV per atom

a = 3.9615 Å, b = 6.9390 Å, c = 6.9612 Å
α = 109.02°, β = 90.00°, γ = 90.00°
Fractional positions:
Pm  0.5000  0.0000  0.5000
Pm  0.0000  0.5000  0.5000
Sm  0.5000  0.5000  0.0000
Y  0.0000  0.0000  0.0000
S  0.5000  0.2431  0.2415
S  0.5000  0.7569  0.7585
S  0.0000  0.2478  0.7554
S  0.0000  0.7522  0.2446